[1]
Dy2MgPdO6: relaxed, PBE.

Cell: 5.3462 5.6951 7.7103 Å, 90.00 90.33 90.00°
Last column: nearest neighbours and their distance in Å.
Positions (direct):
Pd: 0.0000 0.5000 0.0000  6 O 2.03-2.04
Pd: 0.5000 0.0000 0.5000  6 O 2.03-2.04
O: 0.6911 0.3067 0.9406  1 Pd 2.03, 1 Mg 2.08
O: 0.1212 0.4532 0.7528  1 Pd 2.03, 1 Mg 2.07, 1 Dy 2.25
O: 0.8134 0.8021 0.9377  1 Pd 2.04, 1 Mg 2.08
O: 0.1866 0.1979 0.0623  1 Pd 2.04, 1 Mg 2.08
O: 0.8089 0.8067 0.5594  1 Pd 2.03, 1 Mg 2.08
O: 0.8788 0.5468 0.2472  1 Pd 2.03, 1 Mg 2.07, 1 Dy 2.25
O: 0.3089 0.6933 0.0594  1 Pd 2.03, 1 Mg 2.08
O: 0.6866 0.3021 0.5623  1 Pd 2.04, 1 Mg 2.08
O: 0.3788 0.9532 0.7472  1 Pd 2.03, 1 Mg 2.07, 1 Dy 2.25
O: 0.6212 0.0468 0.2528  1 Pd 2.03, 1 Mg 2.07, 1 Dy 2.25
O: 0.3134 0.6979 0.4377  1 Pd 2.04, 1 Mg 2.08
O: 0.1911 0.1933 0.4406  1 Pd 2.03, 1 Mg 2.08
Dy: 0.4781 0.4273 0.2489  5 O 2.25-2.49
Dy: 0.0219 0.9273 0.2511  5 O 2.25-2.49
Dy: 0.9781 0.0727 0.7489  5 O 2.25-2.49
Dy: 0.5219 0.5727 0.7511  5 O 2.25-2.49
Mg: 0.0000 0.5000 0.5000  6 O 2.07-2.08
Mg: 0.5000 0.0000 0.0000  6 O 2.07-2.08

Calculated values
Symmetry: P2_1/c (14)
Crystal system: monoclinic
Formation energy without anion corrections: -2471 meV/atom

***

[2]
CoSeBr2: relaxed, PBE.

Cell: 2.9944 2.9944 10.8514 Å, 90.00 90.00 90.00°
Last column: nearest neighbours and their distance in Å.
Positions (direct):
Se: 0.5000 0.5000 0.6451  4 Co 2.44
Br: 0.0000 0.0000 0.9728  4 Br 2.99
Br: 0.5000 0.5000 0.3487  4 Co 2.92, 4 Br 2.99, 1 Se 3.22
Co: 0.0000 0.0000 0.5334  4 Se 2.44

Calculated values
Symmetry: P4mm (99)
Crystal system: tetragonal
Formation energy without anion corrections: 210 meV/atom

***

[3]
NaLa2CdH: relaxed, PBE.

Cell: 5.1706 5.1706 4.6744 Å, 90.00 90.00 90.00°
Last column: nearest neighbours and their distance in Å.
Positions (direct):
La: 0.0000 0.5000 0.0000  2 H 2.59
La: 0.5000 0.0000 0.0000  2 H 2.59
Na: 0.0000 0.0000 0.5000  2 H 2.34
Cd: 0.5000 0.5000 0.5000  8 La 3.49, 4 Na 3.66
H: 0.0000 0.0000 0.0000  2 Na 2.34, 4 La 2.59

Calculated values
Symmetry: P4/mmm (123)
Uncorrected energy: -3.2867 eV per atom
Crystal system: tetragonal

***

[4]
RbNaCuCl3: relaxed, PBE.

Cell: 4.0994 10.3386 8.9844 Å, 115.36 90.00 101.44°
Last column: nearest neighbours and their distance in Å.
Positions (direct):
Na: 0.6692 0.3385 0.5205  6 Cl 2.79-2.97
Na: 0.3308 0.6615 0.4795  6 Cl 2.79-2.97
Cl: 0.1580 0.3160 0.7469  1 Cu 2.32
Cl: 0.8220 0.6440 0.6802  3 Na 2.79
Cl: 0.1780 0.3560 0.3198  3 Na 2.79
Cl: 0.5118 0.0235 0.3092  2 Cu 2.29
Cl: 0.4882 0.9765 0.6908  2 Cu 2.29
Cl: 0.8420 0.6840 0.2531  1 Cu 2.32
Rb: 0.3498 0.6995 0.9668  6 Cl 3.14-3.51
Rb: 0.6502 0.3005 0.0332  6 Cl 3.14-3.51
Cu: 0.0324 0.0648 0.6638  3 Cl 2.29-2.32
Cu: 0.9676 0.9352 0.3362  3 Cl 2.29-2.32

Calculated values
Symmetry: C2/m (12)
Crystal system: monoclinic
Formation energy without anion corrections: -1353 meV/atom

***

[5]
Dy4Zn2GaCu: relaxed, PBE.

Cell: 5.0113 5.0113 8.7003 Å, 73.26 73.26 60.00°
Last column: nearest neighbours and their distance in Å.
Positions (direct):
Zn: 0.7490 0.7490 0.7529  8 Dy 3.05-3.09
Zn: 0.2510 0.2510 0.2471  8 Dy 3.05-3.09
Dy: 0.3766 0.3766 0.8703  1 Cu 3.04, 4 Zn 3.05-3.09, 3 Ga 3.08
Dy: 0.8734 0.8734 0.3797  3 Cu 3.06, 4 Zn 3.06-3.09, 1 Ga 3.12
Dy: 0.6234 0.6234 0.1297  1 Cu 3.04, 4 Zn 3.05-3.09, 3 Ga 3.08
Dy: 0.1266 0.1266 0.6203  3 Cu 3.06, 4 Zn 3.06-3.09, 1 Ga 3.12
Ga: 0.0000 0.0000 0.0000  8 Dy 3.08-3.12
Cu: 0.5000 0.5000 0.5000  8 Dy 3.04-3.06

Calculated values
Symmetry: R-3m (166)
Crystal system: trigonal
Formation energy from the elements: -0.3751 eV/atom

***

[6]
BiSO2: relaxed, PBE.

Cell: 4.0305 5.3368 7.3553 Å, 98.28 99.54 90.99°
Last column: nearest neighbours and their distance in Å.
Positions (direct):
O: 0.8616 0.8651 0.8487  1 S 1.52
O: 0.7128 0.4935 0.9978  1 S 1.58
O: 0.4205 0.5629 0.6889  1 S 1.56
O: 0.2993 0.6059 0.3076  2 Bi 2.16-2.28
Bi: 0.2244 0.2646 0.1060  1 O 2.16
Bi: 0.8313 0.6437 0.4767  3 O 2.28-2.53
S: 0.7996 0.1406 0.3356  4 Bi 2.73-2.98
S: 0.5666 0.7103 0.8857  3 O 1.52-1.58

Calculated values
Symmetry: P1 (1)
Crystal system: triclinic
Formation energy without anion corrections: -1004 meV/atom

***

[7]
AcSmP2O8: relaxed, PBE.

Cell: 5.3514 5.3514 7.5696 Å, 90.00 90.00 120.00°
Last column: nearest neighbours and their distance in Å.
Positions (direct):
Ac: 0.0000 0.0000 0.0000  6 O 2.69
O: 0.8285 0.6486 0.2836  1 P 1.55
O: 0.8201 0.1715 0.2836  1 P 1.55
O: 0.6667 0.3333 0.0106  1 P 1.54
O: 0.1715 0.3514 0.7164  1 P 1.55
O: 0.3514 0.1799 0.2836  1 P 1.55
O: 0.1799 0.8285 0.7164  1 P 1.55
O: 0.6486 0.8201 0.7164  1 P 1.55
O: 0.3333 0.6667 0.9894  1 P 1.54
Sm: 0.0000 0.0000 0.5000  6 O 2.31
P: 0.6667 0.3333 0.2136  4 O 1.54-1.55
P: 0.3333 0.6667 0.7864  4 O 1.54-1.55

Calculated values
Symmetry: P-3 (147)
Crystal system: trigonal
Formation energy without anion corrections: -2950 meV/atom

***

[8]
TaAlPb2: relaxed, PBE.

Cell: 3.1863 3.1863 9.4352 Å, 90.00 90.00 98.82°
Last column: nearest neighbours and their distance in Å.
Positions (direct):
Pb: 0.0000 0.0000 0.9559  4 Al 3.05-3.30, 4 Pb 3.19
Pb: 0.5000 0.5000 0.2911  4 Ta 3.09-3.34, 4 Pb 3.19
Al: 0.5000 0.5000 0.7186  4 Ta 2.71-2.98
Ta: 0.0000 0.0000 0.5344  4 Al 2.71-2.98

Calculated values
Symmetry: Cmm2 (35)
Crystal system: orthorhombic
Formation energy from the elements: 0.2522 eV/atom